1) Below is a relaxed Sr2YPt crystal, with properties calculated at the PBE level.

Lattice parameters (Å, degrees): 7.829 7.829 7.829 90.00 90.00 90.00
Space group Fm-3m (No. 225)
Symmetry-distinct sites (fractional):
Sr: 0.250 0.250 0.250 (multiplicity 8)
Y: 0.000 0.000 0.000 (multiplicity 4)
Pt: 0.000 0.000 0.500 (multiplicity 4)

Output
DOS(E_F)   1.04 states/eV/atom

***

2) Below is a relaxed Sr2YPt crystal, with properties calculated at the PBE level.

Lattice parameters (Å, degrees): 10.931 10.931 5.471 90.00 90.00 90.00
Space group I-42d (No. 122)
Symmetry-distinct sites (fractional):
Sr: 0.113 0.250 0.125 (multiplicity 8)
Y: 0.000 0.000 0.500 (multiplicity 4)
Pt: 0.000 0.000 0.000 (multiplicity 4)

Output
DOS(E_F)   1.02 states/eV/atom

***

3) Below is a relaxed Sr2YPt crystal, with properties calculated at the PBE level.

Lattice parameters (Å, degrees): 3.927 4.149 18.075 90.00 90.00 90.00
Space group Amm2 (No. 38)
Symmetry-distinct sites (fractional):
Sr: 0.000 0.000 0.000 (multiplicity 2)
Sr: 0.500 0.000 0.317 (multiplicity 2)
Y: 0.000 0.000 0.671 (multiplicity 2)
Pt: 0.500 0.000 0.143 (multiplicity 2)

Output
DOS(E_F)   0.71 states/eV/atom

***

Which structure is the least stable? The one labeled 1).

***

1) Below is a relaxed Sr2YPt crystal, with properties calculated at the PBE level.

Lattice parameters (Å, degrees): 3.710 3.710 10.048 90.00 90.00 90.00
Space group P4mm (No. 99)
Symmetry-distinct sites (fractional):
Sr: 0.000 0.000 0.000 (multiplicity 1)
Sr: 0.500 0.500 0.357 (multiplicity 1)
Y: 0.000 0.000 0.664 (multiplicity 1)
Pt: 0.500 0.500 0.796 (multiplicity 1)

Output
DOS(E_F)   0.91 states/eV/atom

***

2) Below is a relaxed Sr2YPt crystal, with properties calculated at the PBE level.

Lattice parameters (Å, degrees): 3.805 5.904 12.312 90.00 90.00 90.00
Space group Imm2 (No. 44)
Symmetry-distinct sites (fractional):
Sr: 0.000 0.000 0.000 (multiplicity 2)
Sr: 0.000 0.500 0.184 (multiplicity 2)
Y: 0.000 0.500 0.823 (multiplicity 2)
Pt: 0.000 0.000 0.483 (multiplicity 2)

Output
DOS(E_F)   0.95 states/eV/atom

***

Which structure is the least stable? The one labeled 2).

***

1) Below is a relaxed SrY2Pt crystal, with properties calculated at the PBE level.

Lattice parameters (Å, degrees): 4.503 4.503 10.727 90.00 90.00 90.00
Space group I-4m2 (No. 119)
Symmetry-distinct sites (fractional):
Sr: 0.000 0.000 0.000 (multiplicity 2)
Y: 0.000 0.000 0.500 (multiplicity 2)
Y: 0.000 0.500 0.750 (multiplicity 2)
Pt: 0.000 0.500 0.250 (multiplicity 2)

Output
DOS(E_F)   1.33 states/eV/atom

***

2) Below is a relaxed SrY2Pt crystal, with properties calculated at the PBE level.

Lattice parameters (Å, degrees): 4.1593 4.1593 28.9757 90.00 90.00 120.00
Space group R-3m (No. 166, hexagonal axes)
Symmetry-distinct sites (fractional):
Sr: 0.0000 0.0000 0.0000 (multiplicity 3)
Y: 0.0000 0.0000 0.2172 (multiplicity 6)
Pt: 0.0000 0.0000 0.5000 (multiplicity 3)

Output
DOS(E_F)   1.01 states/eV/atom

***

Which structure is the least stable? The one labeled 1).

***

1) Below is a relaxed SrY2Pt crystal, with properties calculated at the PBE level.

Lattice parameters (Å, degrees): 4.1945 4.1945 28.1152 90.00 90.00 120.00
Space group R3m (No. 160, hexagonal axes)
Symmetry-distinct sites (fractional):
Sr: 0.0000 0.0000 0.0000 (multiplicity 3)
Y: 0.0000 0.0000 0.5497 (multiplicity 3)
Y: 0.0000 0.0000 0.7811 (multiplicity 3)
Pt: 0.0000 0.0000 0.1655 (multiplicity 3)

Output
DOS(E_F)   0.82 states/eV/atom

***

2) Below is a relaxed SrY2Pt crystal, with properties calculated at the PBE level.

Lattice parameters (Å, degrees): 12.099 3.830 6.593 90.00 121.59 90.00
Space group Cm (No. 8)
Symmetry-distinct sites (fractional):
Sr: 0.000 0.000 0.000 (multiplicity 2)
Y: 0.130 0.500 0.626 (multiplicity 2)
Y: 0.321 0.500 0.326 (multiplicity 2)
Pt: 0.276 0.000 0.985 (multiplicity 2)

Output
DOS(E_F)   1.08 states/eV/atom

***

3) Below is a relaxed SrY2Pt crystal, with properties calculated at the PBE level.

Lattice parameters (Å, degrees): 7.461 7.461 7.461 90.00 90.00 90.00
Space group Fm-3m (No. 225)
Symmetry-distinct sites (fractional):
Sr: 0.000 0.000 0.000 (multiplicity 4)
Y: 0.250 0.250 0.250 (multiplicity 8)
Pt: 0.000 0.000 0.500 (multiplicity 4)

Output
DOS(E_F)   0.51 states/eV/atom

***

4) Below is a relaxed SrY2Pt crystal, with properties calculated at the PBE level.

Lattice parameters (Å, degrees): 3.590 3.590 9.712 90.00 90.00 90.00
Space group P4/mmm (No. 123)
Symmetry-distinct sites (fractional):
Sr: 0.000 0.000 0.000 (multiplicity 1)
Y: 0.500 0.500 0.332 (multiplicity 2)
Pt: 0.000 0.000 0.500 (multiplicity 1)

Output
DOS(E_F)   1.40 states/eV/atom

***

Which structure is the least stable? The one labeled 3).

***

1) Below is a relaxed Sr3YPt crystal, with properties calculated at the PBE level.

Lattice parameters (Å, degrees): 6.214 6.214 6.214 90.00 90.00 90.00
Space group Pm-3m (No. 221)
Symmetry-distinct sites (fractional):
Sr: 0.000 0.000 0.500 (multiplicity 3)
Y: 0.000 0.000 0.000 (multiplicity 1)
Pt: 0.500 0.500 0.500 (multiplicity 1)

Output
DOS(E_F)   0.89 states/eV/atom

***

2) Below is a relaxed Sr3YPt crystal, with properties calculated at the PBE level.

Lattice parameters (Å, degrees): 5.915 5.915 5.915 90.00 90.00 90.00
Space group Pm-3m (No. 221)
Symmetry-distinct sites (fractional):
Sr: 0.000 0.000 0.500 (multiplicity 3)
Y: 0.500 0.500 0.500 (multiplicity 1)
Pt: 0.000 0.000 0.000 (multiplicity 1)

Output
DOS(E_F)   0.69 states/eV/atom

***

Which structure is the least stable? The one labeled 1).

***

1) Below is a relaxed Sr2Zn2Pt crystal, with properties calculated at the PBE level.

Lattice parameters (Å, degrees): 4.403 6.131 10.714 90.47 101.80 110.95
Space group P-1 (No. 2)
Symmetry-distinct sites (fractional):
Sr: 0.074 0.270 0.378 (multiplicity 2)
Sr: 0.338 0.339 0.838 (multiplicity 2)
Zn: 0.129 0.813 0.946 (multiplicity 2)
Zn: 0.378 0.868 0.386 (multiplicity 2)
Pt: 0.376 0.080 0.172 (multiplicity 2)

Output
DOS(E_F)   0.63 states/eV/atom

***

2) Below is a relaxed Sr2Zn2Pt crystal, with properties calculated at the PBE level.

Lattice parameters (Å, degrees): 3.745 3.745 18.780 90.00 90.00 90.00
Space group I4/mmm (No. 139)
Symmetry-distinct sites (fractional):
Sr: 0.000 0.000 0.094 (multiplicity 4)
Zn: 0.000 0.500 0.250 (multiplicity 4)
Pt: 0.000 0.000 0.500 (multiplicity 2)

Output
DOS(E_F)   0.27 states/eV/atom

***

Which structure is the least stable? The one labeled 2).

***

1) Below is a relaxed Sr2Zn2Pt crystal, with properties calculated at the PBE level.

Lattice parameters (Å, degrees): 6.057 6.057 7.436 90.00 90.00 90.00
Space group I4/mmm (No. 139)
Symmetry-distinct sites (fractional):
Sr: 0.000 0.500 0.250 (multiplicity 4)
Zn: 0.000 0.000 0.162 (multiplicity 4)
Pt: 0.000 0.000 0.500 (multiplicity 2)

Output
DOS(E_F)   0.60 states/eV/atom

***

2) Below is a relaxed Sr2Zn2Pt crystal, with properties calculated at the PBE level.

Lattice parameters (Å, degrees): 7.130 7.130 4.884 90.00 90.00 90.00
Space group P4/mbm (No. 127)
Symmetry-distinct sites (fractional):
Sr: 0.186 0.314 0.000 (multiplicity 4)
Zn: 0.128 0.628 0.500 (multiplicity 4)
Pt: 0.000 0.000 0.500 (multiplicity 2)

Output
DOS(E_F)   0.66 states/eV/atom

***

3) Below is a relaxed Sr2Zn2Pt crystal, with properties calculated at the PBE level.

Lattice parameters (Å, degrees): 11.607 4.345 11.988 90.00 116.37 90.00
Space group C2/m (No. 12)
Symmetry-distinct sites (fractional):
Sr: 0.093 0.000 0.385 (multiplicity 4)
Sr: 0.202 0.500 0.137 (multiplicity 4)
Zn: 0.040 0.000 0.913 (multiplicity 4)
Zn: 0.116 0.500 0.620 (multiplicity 4)
Pt: 0.073 0.500 0.814 (multiplicity 4)

Output
DOS(E_F)   0.56 states/eV/atom

***

Which structure is the least stable? The one labeled 1).

***

1) Below is a relaxed Sr3ZnPt crystal, with properties calculated at the PBE level.

Lattice parameters (Å, degrees): 7.424 4.341 10.979 90.00 102.48 90.00
Space group P2_1/m (No. 11)
Symmetry-distinct sites (fractional):
Sr: 0.217 0.250 0.065 (multiplicity 2)
Sr: 0.229 0.750 0.759 (multiplicity 2)
Sr: 0.251 0.250 0.435 (multiplicity 2)
Zn: 0.436 0.750 0.275 (multiplicity 2)
Pt: 0.077 0.750 0.222 (multiplicity 2)

Output
DOS(E_F)   0.66 states/eV/atom

***

2) Below is a relaxed Sr3ZnPt crystal, with properties calculated at the PBE level.

Lattice parameters (Å, degrees): 5.878 5.878 5.878 90.00 90.00 90.00
Space group Pm-3m (No. 221)
Symmetry-distinct sites (fractional):
Sr: 0.000 0.000 0.500 (multiplicity 3)
Zn: 0.500 0.500 0.500 (multiplicity 1)
Pt: 0.000 0.000 0.000 (multiplicity 1)

Output
DOS(E_F)   0.50 states/eV/atom

***

Which structure is the least stable? The one labeled 2).